Entry 1:
The following is a GGA-PBE calculation of a geometry-optimized Pr2Nd6Y3Er structure, from Alexandria via LeMat-Bulk.

Values from the calculation:
As for the density of states at the Fermi level: 31.74 states/eV/cell. The value obtained for the total energy is -5.165 eV per atom. The formation energy comes out at 0.01 eV/atom.

a = 6.3255 Å, b = 10.9587 Å, c = 12.0335 Å
α = 90.00°, β = 100.08°, γ = 90.00°
Space group C2/m (No. 12)
One atom of each set of equivalent atoms:
Pr  0.0000  0.1668  0.0000 (multiplicity 4)
Nd  0.2478  0.5000  0.7476 (multiplicity 4)
Nd  0.2501  0.1659  0.7478 (multiplicity 8)
Y  0.0000  0.0000  0.5000 (multiplicity 2)
Y  0.0000  0.3336  0.5000 (multiplicity 4)
Er  0.0000  0.5000  0.0000 (multiplicity 2)

***

Entry 2:
The following is a GGA-PBE calculation of a geometry-optimized Pr3NdYEr structure, from Alexandria via LeMat-Bulk.

Values from the calculation:
As for the density of states at the Fermi level: 36.72 states/eV/cell. The value obtained for the total energy is -5.005 eV per atom. The formation energy comes out at 0.02 eV/atom.

a = 5.1704 Å, b = 15.5354 Å, c = 10.2912 Å
α = 90.00°, β = 90.00°, γ = 90.00°
Space group Cmcm (No. 63)
One atom of each set of equivalent atoms:
Pr  0.0000  0.1655  0.0004 (multiplicity 8)
Pr  0.0000  0.3340  0.2500 (multiplicity 4)
Nd  0.0000  0.5000  0.0000 (multiplicity 4)
Y  0.0000  0.3354  0.7500 (multiplicity 4)
Er  0.0000  0.0010  0.2500 (multiplicity 4)

***

Entry 3:
The following is a GGA-PBE calculation of a geometry-optimized Pr2Nd2YEr2 structure, from Alexandria via LeMat-Bulk.

Values from the calculation:
As for the density of states at the Fermi level: 20.23 states/eV/cell. The value obtained for the total energy is -4.935 eV per atom. The formation energy comes out at 0.02 eV/atom.

a = 11.4713 Å, b = 5.1326 Å, c = 8.1109 Å
α = 90.00°, β = 98.31°, γ = 90.00°
Space group C2/m (No. 12)
One atom of each set of equivalent atoms:
Pr  0.0719  0.0000  0.2192 (multiplicity 4)
Nd  0.1438  0.5000  0.9286 (multiplicity 4)
Y  0.0000  0.5000  0.5000 (multiplicity 2)
Er  0.2148  0.0000  0.6401 (multiplicity 4)

***

Entry 4:
The following is a GGA-PBE calculation of a geometry-optimized Pr2NdYEr2 structure, from Alexandria via LeMat-Bulk.

Values from the calculation:
As for the density of states at the Fermi level: 19.20 states/eV/cell. The value obtained for the total energy is -4.926 eV per atom. The formation energy comes out at 0.06 eV/atom.

a = 7.1088 Å, b = 5.7138 Å, c = 9.8833 Å
α = 90.00°, β = 90.00°, γ = 90.00°
Space group Pmma (No. 51)
One atom of each set of equivalent atoms:
Pr  0.0000  0.0000  0.0000 (multiplicity 2)
Pr  0.2500  0.5000  0.1762 (multiplicity 2)
Nd  0.2500  0.0000  0.6593 (multiplicity 2)
Y  0.0000  0.5000  0.5000 (multiplicity 2)
Er  0.2500  0.0000  0.3319 (multiplicity 2)
Er  0.2500  0.5000  0.8358 (multiplicity 2)

***

Entry 5:
The following is a GGA-PBE calculation of a geometry-optimized PrNd6YEr2 structure, from Alexandria via LeMat-Bulk.

Values from the calculation:
As for the density of states at the Fermi level: 57.97 states/eV/cell. The value obtained for the total energy is -4.787 eV per atom. The formation energy comes out at 0.11 eV/atom.

a = 9.3291 Å, b = 15.3274 Å, c = 9.7235 Å
α = 90.00°, β = 97.15°, γ = 90.00°
Space group C2/c (No. 15)
One atom of each set of equivalent atoms:
Pr  0.0000  0.0293  0.2500 (multiplicity 4)
Nd  0.0638  0.1780  0.9450 (multiplicity 8)
Nd  0.0963  0.3907  0.1186 (multiplicity 8)
Nd  0.2142  0.2251  0.3163 (multiplicity 8)
Y  0.0000  0.4099  0.7500 (multiplicity 4)
Er  0.2491  0.4510  0.4523 (multiplicity 8)

***

Entry 6:
The following is a GGA-PBE calculation of a geometry-optimized Pr2NdY2Er2 structure, from Alexandria via LeMat-Bulk.

Values from the calculation:
As for the density of states at the Fermi level: 23.82 states/eV/cell. The value obtained for the total energy is -5.112 eV per atom. The formation energy comes out at 0.08 eV/atom.

a = 11.8382 Å, b = 3.5420 Å, c = 11.9191 Å
α = 90.00°, β = 108.60°, γ = 90.00°
Space group C2/m (No. 12)
One atom of each set of equivalent atoms:
Pr  0.1722  0.0000  0.0851 (multiplicity 4)
Nd  0.0000  0.5000  0.5000 (multiplicity 2)
Y  0.0480  0.0000  0.7710 (multiplicity 4)
Er  0.2270  0.5000  0.3649 (multiplicity 4)

***

Entry 7:
The following is a GGA-PBE calculation of a geometry-optimized Pr6NdY2Er3 structure, from Alexandria via LeMat-Bulk.

Values from the calculation:
As for the density of states at the Fermi level: 27.29 states/eV/cell. The value obtained for the total energy is -4.993 eV per atom. The formation energy comes out at 0.01 eV/atom.

a = 6.3202 Å, b = 10.9473 Å, c = 11.9269 Å
α = 90.00°, β = 100.15°, γ = 90.00°
Space group C2/m (No. 12)
One atom of each set of equivalent atoms:
Pr  0.2487  0.0000  0.2470 (multiplicity 4)
Pr  0.2488  0.3334  0.2468 (multiplicity 8)
Nd  0.0000  0.0000  0.5000 (multiplicity 2)
Y  0.0000  0.3335  0.5000 (multiplicity 4)
Er  0.0000  0.1668  0.0000 (multiplicity 4)
Er  0.0000  0.5000  0.0000 (multiplicity 2)

***

Entry 8:
The following is a GGA-PBE calculation of a geometry-optimized Pr3Nd6Y2Er structure, from Alexandria via LeMat-Bulk.

Values from the calculation:
As for the density of states at the Fermi level: 34.00 states/eV/cell. The value obtained for the total energy is -5.022 eV per atom. The formation energy comes out at 0.01 eV/atom.

a = 6.3497 Å, b = 11.0006 Å, c = 12.0852 Å
α = 90.00°, β = 100.08°, γ = 90.00°
Space group C2/m (No. 12)
One atom of each set of equivalent atoms:
Pr  0.0000  0.0000  0.0000 (multiplicity 2)
Pr  0.0000  0.3334  0.0000 (multiplicity 4)
Nd  0.2482  0.3339  0.7452 (multiplicity 8)
Nd  0.2498  0.0000  0.7453 (multiplicity 4)
Y  0.0000  0.1666  0.5000 (multiplicity 4)
Er  0.0000  0.5000  0.5000 (multiplicity 2)

***

Entry 9:
The following is a GGA-PBE calculation of a geometry-optimized Pr2NdYEr5 structure, from Alexandria via LeMat-Bulk.

Values from the calculation:
As for the density of states at the Fermi level: 40.58 states/eV/cell. The value obtained for the total energy is -4.590 eV per atom. The formation energy comes out at 0.25 eV/atom.

a = 8.6264 Å, b = 8.6264 Å, c = 15.7261 Å
α = 90.00°, β = 90.00°, γ = 90.00°
Space group I4/mcm (No. 140)
One atom of each set of equivalent atoms:
Pr  0.1189  0.3811  0.0000 (multiplicity 8)
Nd  0.0000  0.5000  0.2500 (multiplicity 4)
Y  0.0000  0.0000  0.2500 (multiplicity 4)
Er  0.0000  0.0000  0.0000 (multiplicity 4)
Er  0.2103  0.2897  0.3602 (multiplicity 16)

***

Entry 10:
The following is a GGA-PBE calculation of a geometry-optimized Pr2NdY6Er structure, from Alexandria via LeMat-Bulk.

Values from the calculation:
As for the density of states at the Fermi level: 58.76 states/eV/cell. The value obtained for the total energy is -5.657 eV per atom. The formation energy comes out at 0.11 eV/atom.

a = 9.1390 Å, b = 15.0982 Å, c = 9.8446 Å
α = 90.00°, β = 99.61°, γ = 90.00°
Space group C2/c (No. 15)
One atom of each set of equivalent atoms:
Pr  0.2437  0.0494  0.0448 (multiplicity 8)
Nd  0.0000  0.0174  0.7500 (multiplicity 4)
Y  0.0693  0.1903  0.4427 (multiplicity 8)
Y  0.0967  0.3946  0.6171 (multiplicity 8)
Y  0.2047  0.2226  0.8136 (multiplicity 8)
Er  0.0000  0.4065  0.2500 (multiplicity 4)

***

Entry 11:
The following is a GGA-PBE calculation of a geometry-optimized PrNd2Y2Er structure, from Alexandria via LeMat-Bulk.

Values from the calculation:
As for the density of states at the Fermi level: 18.10 states/eV/cell. The value obtained for the total energy is -5.201 eV per atom. The formation energy comes out at 0.10 eV/atom.

a = 6.1558 Å, b = 18.4970 Å, c = 3.5950 Å
α = 90.00°, β = 90.00°, γ = 90.00°
Space group Pnnm (No. 58)
One atom of each set of equivalent atoms:
Pr  0.0000  0.0000  0.0000 (multiplicity 2)
Nd  0.1616  0.3452  0.5000 (multiplicity 4)
Y  0.1603  0.1589  0.5000 (multiplicity 4)
Er  0.0000  0.5000  0.0000 (multiplicity 2)

***

Entry 12:
The following is a GGA-PBE calculation of a geometry-optimized PrNd2Y6Er3 structure, from Alexandria via LeMat-Bulk.

Values from the calculation:
As for the density of states at the Fermi level: 35.00 states/eV/cell. The value obtained for the total energy is -5.545 eV per atom. The formation energy comes out at 0.02 eV/atom.

a = 6.2195 Å, b = 10.7655 Å, c = 11.8548 Å
α = 90.00°, β = 100.05°, γ = 90.00°
Space group C2/m (No. 12)
One atom of each set of equivalent atoms:
Pr  0.0000  0.0000  0.0000 (multiplicity 2)
Nd  0.0000  0.3334  0.0000 (multiplicity 4)
Y  0.2483  0.0000  0.7454 (multiplicity 4)
Y  0.2480  0.3333  0.7455 (multiplicity 8)
Er  0.0000  0.1667  0.5000 (multiplicity 4)
Er  0.0000  0.5000  0.5000 (multiplicity 2)

***

Entry 13:
The following is a GGA-PBE calculation of a geometry-optimized Pr3Nd2Y6Er structure, from Alexandria via LeMat-Bulk.

Values from the calculation:
As for the density of states at the Fermi level: 30.17 states/eV/cell. The value obtained for the total energy is -5.590 eV per atom. The formation energy comes out at 0.01 eV/atom.

a = 6.2807 Å, b = 10.8746 Å, c = 11.9177 Å
α = 90.00°, β = 100.07°, γ = 90.00°
Space group C2/m (No. 12)
One atom of each set of equivalent atoms:
Pr  0.0000  0.0000  0.0000 (multiplicity 2)
Pr  0.0000  0.3333  0.0000 (multiplicity 4)
Nd  0.0000  0.1664  0.5000 (multiplicity 4)
Y  0.2489  0.3336  0.7480 (multiplicity 8)
Y  0.2499  0.0000  0.7482 (multiplicity 4)
Er  0.0000  0.5000  0.5000 (multiplicity 2)

***

Entry 14:
The following is a GGA-PBE calculation of a geometry-optimized Pr6Nd2Y3Er structure, from Alexandria via LeMat-Bulk.

Values from the calculation:
As for the density of states at the Fermi level: 30.16 states/eV/cell. The value obtained for the total energy is -5.171 eV per atom. The formation energy comes out at 0.01 eV/atom.

a = 6.3508 Å, b = 11.0033 Å, c = 12.0257 Å
α = 90.00°, β = 100.12°, γ = 90.00°
Space group C2/m (No. 12)
One atom of each set of equivalent atoms:
Pr  0.2481  0.0000  0.2481 (multiplicity 4)
Pr  0.2501  0.1660  0.7514 (multiplicity 8)
Nd  0.0000  0.3333  0.5000 (multiplicity 4)
Y  0.0000  0.1665  0.0000 (multiplicity 4)
Y  0.0000  0.5000  0.0000 (multiplicity 2)
Er  0.0000  0.0000  0.5000 (multiplicity 2)

***

Entry 15:
The following is a GGA-PBE calculation of a geometry-optimized Pr2Nd4Y2Er structure, from Alexandria via LeMat-Bulk.

Values from the calculation:
As for the density of states at the Fermi level: 23.94 states/eV/cell. The value obtained for the total energy is -5.118 eV per atom. The formation energy comes out at 0.01 eV/atom.

a = 19.0494 Å, b = 3.6857 Å, c = 9.7764 Å
α = 90.00°, β = 115.62°, γ = 90.00°
Space group C2/m (No. 12)
One atom of each set of equivalent atoms:
Pr  0.1650  0.0000  0.4989 (multiplicity 4)
Nd  0.0182  0.0000  0.8327 (multiplicity 4)
Nd  0.1855  0.5000  0.8333 (multiplicity 4)
Y  0.1474  0.5000  0.1664 (multiplicity 4)
Er  0.0000  0.5000  0.5000 (multiplicity 2)

***

Entry 16:
The following is a GGA-PBE calculation of a geometry-optimized PrNdYEr2 structure, from Alexandria via LeMat-Bulk.

Values from the calculation:
As for the density of states at the Fermi level: 33.86 states/eV/cell. The value obtained for the total energy is -4.693 eV per atom. The formation energy comes out at 0.33 eV/atom.

a = 6.4617 Å, b = 16.7127 Å, c = 6.4404 Å
α = 90.00°, β = 90.00°, γ = 90.00°
Space group Cmcm (No. 63)
One atom of each set of equivalent atoms:
Pr  0.0000  0.2259  0.2500 (multiplicity 4)
Nd  0.0000  0.1564  0.7500 (multiplicity 4)
Y  0.0000  0.3457  0.7500 (multiplicity 4)
Er  0.2465  0.0000  0.0000 (multiplicity 8)

***

Entry 17:
The following is a GGA-PBE calculation of a geometry-optimized PrNd3YEr structure, from Alexandria via LeMat-Bulk.

Values from the calculation:
As for the density of states at the Fermi level: 34.13 states/eV/cell. The value obtained for the total energy is -4.839 eV per atom. The formation energy comes out at 0.18 eV/atom.

a = 20.7749 Å, b = 5.8586 Å, c = 6.8099 Å
α = 90.00°, β = 91.51°, γ = 90.00°
Space group C2/m (No. 12)
One atom of each set of equivalent atoms:
Pr  0.1485  0.0000  0.0256 (multiplicity 4)
Nd  0.0177  0.0000  0.7511 (multiplicity 4)
Nd  0.1595  0.5000  0.7570 (multiplicity 4)
Nd  0.2201  0.5000  0.2768 (multiplicity 4)
Y  0.0587  0.5000  0.2637 (multiplicity 4)
Er  0.1409  0.0000  0.4795 (multiplicity 4)

***

Entry 18:
The following is a GGA-PBE calculation of a geometry-optimized PrNd2Y5Er structure, from Alexandria via LeMat-Bulk.

Values from the calculation:
As for the density of states at the Fermi level: 41.86 states/eV/cell. The value obtained for the total energy is -5.445 eV per atom. The formation energy comes out at 0.24 eV/atom.

a = 8.6436 Å, b = 8.6436 Å, c = 15.8939 Å
α = 90.00°, β = 90.00°, γ = 90.00°
Space group I4/mcm (No. 140)
One atom of each set of equivalent atoms:
Pr  0.0000  0.5000  0.2500 (multiplicity 4)
Nd  0.1189  0.3811  0.0000 (multiplicity 8)
Y  0.0000  0.0000  0.0000 (multiplicity 4)
Y  0.2080  0.2920  0.3611 (multiplicity 16)
Er  0.0000  0.0000  0.2500 (multiplicity 4)

***

Entry 19:
The following is a GGA-PBE calculation of a geometry-optimized PrNdY2Er structure, from Alexandria via LeMat-Bulk.

Values from the calculation:
As for the density of states at the Fermi level: 32.50 states/eV/cell. The value obtained for the total energy is -5.050 eV per atom. The formation energy comes out at 0.36 eV/atom.

a = 6.4706 Å, b = 16.7976 Å, c = 6.4632 Å
α = 90.00°, β = 90.00°, γ = 90.00°
Space group Cmcm (No. 63)
One atom of each set of equivalent atoms:
Pr  0.0000  0.1588  0.2500 (multiplicity 4)
Nd  0.0000  0.3420  0.2500 (multiplicity 4)
Y  0.2500  0.0000  0.0000 (multiplicity 8)
Er  0.0000  0.2497  0.7500 (multiplicity 4)

***

Entry 20:
The following is a GGA-PBE calculation of a geometry-optimized Pr2Nd3YEr6 structure, from Alexandria via LeMat-Bulk.

Values from the calculation:
As for the density of states at the Fermi level: 27.17 states/eV/cell. The value obtained for the total energy is -4.793 eV per atom. The formation energy comes out at 0.02 eV/atom.

a = 6.2334 Å, b = 10.7937 Å, c = 11.8051 Å
α = 90.00°, β = 100.10°, γ = 90.00°
Space group C2/m (No. 12)
One atom of each set of equivalent atoms:
Pr  0.0000  0.1665  0.0000 (multiplicity 4)
Nd  0.0000  0.0000  0.5000 (multiplicity 2)
Nd  0.0000  0.3332  0.5000 (multiplicity 4)
Y  0.0000  0.5000  0.0000 (multiplicity 2)
Er  0.2503  0.0000  0.2502 (multiplicity 4)
Er  0.2498  0.1667  0.7500 (multiplicity 8)